[1]
The following is a PBE calculation of a relaxed structure of K3ScGa2O6, from Alexandria via LeMat-Bulk.

CIF file:
```
data_K3ScGa2O6
_symmetry_space_group_name_H-M 'P -3 m 1'
_symmetry_Int_Tables_number 164
_symmetry_space_group_name_Hall '-P 3 2"'
_cell_length_a 5.9784
_cell_length_b 5.9784
_cell_length_c 6.9894
_cell_angle_alpha 90.00
_cell_angle_beta 90.00
_cell_angle_gamma 120.00
loop_
_atom_site_label
_atom_site_type_symbol
_atom_site_fract_x
_atom_site_fract_y
_atom_site_fract_z
K1 K 0.0000 0.0000 0.0000
K2 K 0.3333 0.6667 0.7528
Sc1 Sc 0.0000 0.0000 0.5000
Ga1 Ga 0.3333 0.6667 0.3103
O1 O 0.1614 0.3227 0.3058
```

## Properties
Total magnetic moment = 0.0 μB per formula unit
Electronic total energy = -0.422 Ry/atom
ΔE_f (raw) = -23.50 eV per formula unit



[2]
The following is a PBE calculation of a relaxed structure of K2GaSe2O6, from Alexandria via LeMat-Bulk.

CIF file:
```
data_K2GaSe2O6
_symmetry_space_group_name_H-M 'R -3 m'
_symmetry_Int_Tables_number 166
_symmetry_space_group_name_Hall '-R 3 2"'
_cell_length_a 5.8918
_cell_length_b 5.8918
_cell_length_c 18.3791
_cell_angle_alpha 90.00
_cell_angle_beta 90.00
_cell_angle_gamma 120.00
loop_
_atom_site_label
_atom_site_type_symbol
_atom_site_fract_x
_atom_site_fract_y
_atom_site_fract_z
K1 K 0.0000 0.0000 0.2142
Ga1 Ga 0.0000 0.0000 0.0000
Se1 Se 0.0000 0.0000 0.4181
O1 O 0.0219 0.5110 0.7352
```

## Properties
Total magnetic moment = 0.0 μB per formula unit
Electronic total energy = -0.358 Ry/atom
ΔE_f (raw) = -11.64 eV per formula unit